1.
Below is a relaxed Hf3ScZn crystal, with properties calculated at the PBE-GGA level.

The structure belongs to space group Pm-3m (No. 221); the cell edges are 4.978, 4.978 and 4.978 Å and the angles 90.00°, 90.00° and 90.00°. The inequivalent atoms are Hf at (0.000, 0.000, 0.500), Sc at (0.000, 0.000, 0.000) and Zn at (0.500, 0.500, 0.500).

For the formation energy, the calculation gives 1.341 eV/atom.

***

2.
Below is a relaxed HfSc4Zn5 crystal, with properties calculated at the PBE-GGA level.

The structure belongs to space group P4/mmm (No. 123); the cell edges are 3.334, 3.334 and 16.742 Å and the angles 90.00°, 90.00° and 90.00°. The inequivalent atoms are Hf at (0.000, 0.000, 0.000), Sc at (0.000, 0.000, 0.198), Sc at (0.000, 0.000, 0.399), Zn at (0.500, 0.500, 0.099), Zn at (0.500, 0.500, 0.298) and Zn at (0.500, 0.500, 0.500).

For the formation energy, the calculation gives -0.334 eV/atom.

***

3.
Below is a relaxed HfSc2Zn9 crystal, with properties calculated at the PBE-GGA level.

The structure belongs to space group P6_3/mmc (No. 194); the cell edges are 5.2263, 5.2263 and 16.5794 Å and the angles 90.00°, 90.00° and 120.00°. The inequivalent atoms are Hf at (0.3333, 0.6667, 0.2500), Sc at (0.3333, 0.6667, 0.0399), Zn at (0.0000, 0.0000, 0.0000), Zn at (0.0000, 0.0000, 0.2500), Zn at (0.1695, 0.3389, 0.6239) and Zn at (0.3333, 0.6667, 0.7500).

For the formation energy, the calculation gives -0.216 eV/atom.

***

4.
Below is a relaxed Hf3ScZn8 crystal, with properties calculated at the PBE-GGA level.

The structure belongs to space group P3m1 (No. 156); the cell edges are 5.2394, 5.2394 and 8.3904 Å and the angles 90.00°, 90.00° and 120.00°. The inequivalent atoms are Hf at (0.0000, 0.0000, 0.0000), Hf at (0.0000, 0.0000, 0.3647), Hf at (0.3333, 0.6667, 0.8722), Sc at (0.3333, 0.6667, 0.4955), Zn at (0.0097, 0.5048, 0.1819), Zn at (0.3220, 0.1610, 0.6843), Zn at (0.6667, 0.3333, 0.4316) and Zn at (0.6667, 0.3333, 0.9323).

For the formation energy, the calculation gives -0.226 eV/atom.

***

5.
Below is a relaxed Hf5ScZn6 crystal, with properties calculated at the PBE-GGA level.

The structure belongs to space group C2/m (No. 12); the cell edges are 14.751, 6.632 and 4.673 Å and the angles 90.00°, 108.25° and 90.00°. The inequivalent atoms are Hf at (0.000, 0.000, 0.000), Hf at (0.165, 0.000, 0.665), Hf at (0.169, 0.500, 0.669), Sc at (0.000, 0.500, 0.000), Zn at (0.000, 0.256, 0.500) and Zn at (0.166, 0.253, 0.166).

For the formation energy, the calculation gives -0.216 eV/atom.

***

6.
Below is a relaxed HfSc2Zn2 crystal, with properties calculated at the PBE-GGA level.

The structure belongs to space group P2_1/m (No. 11); the cell edges are 3.325, 4.758 and 12.377 Å and the angles 90.00°, 97.71° and 90.00°. The inequivalent atoms are Hf at (0.148, 0.250, 0.297), Sc at (0.045, 0.750, 0.092), Sc at (0.236, 0.750, 0.472), Zn at (0.359, 0.250, 0.717) and Zn at (0.449, 0.750, 0.898).

For the formation energy, the calculation gives -0.224 eV/atom.

***

7.
Below is a relaxed Hf2ScZn6 crystal, with properties calculated at the PBE-GGA level.

The structure belongs to space group P6/mmm (No. 191); the cell edges are 7.5318, 7.5318 and 3.1276 Å and the angles 90.00°, 90.00° and 120.00°. The inequivalent atoms are Hf at (0.3333, 0.6667, 0.0000), Sc at (0.0000, 0.0000, 0.0000) and Zn at (0.0000, 0.3339, 0.5000).

For the formation energy, the calculation gives -0.271 eV/atom.

***

8.
Below is a relaxed HfScZn crystal, with properties calculated at the PBE-GGA level.

The structure belongs to space group P3m1 (No. 156); the cell edges are 4.7265, 4.7265 and 3.1525 Å and the angles 90.00°, 90.00° and 120.00°. The inequivalent atoms are Hf at (0.0000, 0.0000, 0.0000), Sc at (0.6667, 0.3333, 0.4598) and Zn at (0.3333, 0.6667, 0.7710).

For the formation energy, the calculation gives 0.034 eV/atom.

***

9.
Below is a relaxed Hf2Sc2Zn crystal, with properties calculated at the PBE-GGA level.

The structure belongs to space group P4/mbm (No. 127); the cell edges are 7.165, 7.165 and 4.329 Å and the angles 90.00°, 90.00° and 90.00°. The inequivalent atoms are Hf at (0.148, 0.352, 0.000), Sc at (0.148, 0.648, 0.500) and Zn at (0.000, 0.000, 0.500).

For the formation energy, the calculation gives 0.211 eV/atom.

***

10.
Below is a relaxed HfScZn crystal, with properties calculated at the PBE-GGA level.

The structure belongs to space group Cmcm (No. 63); the cell edges are 3.193, 17.216 and 4.426 Å and the angles 90.00°, 90.00° and 90.00°. The inequivalent atoms are Hf at (0.000, 0.211, 0.250), Sc at (0.000, 0.394, 0.250) and Zn at (0.000, 0.042, 0.250).

For the formation energy, the calculation gives -0.180 eV/atom.

***

11.
Below is a relaxed HfSc2Zn2 crystal, with properties calculated at the PBE-GGA level.

The structure belongs to space group P4/mbm (No. 127); the cell edges are 7.692, 7.692 and 3.353 Å and the angles 90.00°, 90.00° and 90.00°. The inequivalent atoms are Hf at (0.000, 0.000, 0.000), Sc at (0.174, 0.326, 0.500) and Zn at (0.125, 0.625, 0.000).

For the formation energy, the calculation gives -0.172 eV/atom.

***

12.
Below is a relaxed HfSc2Zn3 crystal, with properties calculated at the PBE-GGA level.

The structure belongs to space group P4/mmm (No. 123); the cell edges are 3.329, 3.329 and 10.018 Å and the angles 90.00°, 90.00° and 90.00°. The inequivalent atoms are Hf at (0.000, 0.000, 0.000), Sc at (0.000, 0.000, 0.332), Zn at (0.500, 0.500, 0.165) and Zn at (0.500, 0.500, 0.500).

For the formation energy, the calculation gives -0.305 eV/atom.

***

Please write out number 7 again, unchanged.
Below is a relaxed Hf2ScZn6 crystal, with properties calculated at the PBE-GGA level.

The structure belongs to space group P6/mmm (No. 191); the cell edges are 7.5318, 7.5318 and 3.1276 Å and the angles 90.00°, 90.00° and 120.00°. The inequivalent atoms are Hf at (0.3333, 0.6667, 0.0000), Sc at (0.0000, 0.0000, 0.0000) and Zn at (0.0000, 0.3339, 0.5000).

For the formation energy, the calculation gives -0.271 eV/atom.